[1]
8
Lattice="0.000 5.134 8.871 3.401 0.000 8.871 3.401 5.134 0.000" Properties=species:S:1:pos:R:3 comment="PBE BaCd, relaxed" sg="Fddd (70)" vol_a3_per_atom=38.7 ef_ev_per_atom=-0.13 dos_at_fermi_per_ev_cell=8.582 pbc="T T T"
Ba 2.551 0.548 6.653
Ba 4.251 3.115 11.089
Ba 2.551 7.152 6.653
Ba 4.251 9.719 11.089
Cd 2.551 3.850 5.202
Cd 2.551 3.850 8.105
Cd 4.251 6.417 9.637
Cd 4.251 6.417 12.540

***

[2]
7
Lattice="4.299 -3.389 0.000 4.299 3.389 0.000 -3.219 0.000 4.169" Properties=species:S:1:pos:R:3 comment="PBE SmZn2Pt4, relaxed" sg="C2/m (12)" vol_a3_per_atom=17.4 ef_ev_per_atom=-0.68 e_above_lowest_polymorph_mev_per_atom=0.0 dos_at_fermi_per_ev_cell=4.143 pbc="T T T"
Sm 0.000 0.000 0.000
Zn 3.495 0.000 1.043
Zn 1.883 0.000 3.126
Pt 3.772 -2.020 2.927
Pt 1.606 2.020 1.242
Pt 3.772 2.020 2.927
Pt 1.606 -2.020 1.242

***

[3]
4
Lattice="4.794 0.000 0.000 0.000 4.794 0.000 0.000 0.000 2.912" Properties=species:S:1:pos:R:3 comment="PBE Mg2CrRe, relaxed" sg="P4/mmm (123)" vol_a3_per_atom=16.7 ef_ev_per_atom=0.64 e_above_lowest_polymorph_mev_per_atom=480.1 dos_at_fermi_per_ev_cell=2.791 pbc="T T T"
Mg 0.000 2.397 0.000
Mg 2.397 0.000 0.000
Cr 0.000 0.000 1.456
Re 2.397 2.397 1.456

***

[4]
8
Lattice="-3.673 3.673 2.595 3.673 -3.673 2.595 3.673 3.673 -2.595" Properties=species:S:1:pos:R:3 comment="PBE Zn2SiAu, relaxed" e_form_raw_mev_per_atom=185.5 sg="I-42d (122)" vol_a3_per_atom=17.5 dos_at_fermi_per_ev_cell=3.150 pbc="T T T"
Zn 1.836 1.712 -0.649
Zn 1.961 -1.836 3.244
Zn 1.836 1.961 1.946
Zn 1.712 5.509 0.649
Si 0.000 0.000 0.000
Si 0.000 3.673 1.298
Au 3.673 0.000 1.298
Au 0.000 0.000 2.595

***

[5]
4
Lattice="0.000 4.294 4.294 4.294 0.000 4.294 4.294 4.294 0.000" Properties=species:S:1:pos:R:3 comment="PBE RbIn2I, relaxed" e_form_raw_mev_per_atom=-0.9 sg="Fm-3m (225)" vol_a3_per_atom=39.6 e_above_lowest_polymorph_mev_per_atom=361.9 dos_at_fermi_per_ev_cell=4.192 pbc="T T T"
Rb 0.000 0.000 0.000
In 2.147 2.147 2.147
In 6.441 6.441 6.441
I 4.294 4.294 4.294

***

[6]
3
Lattice="3.335 0.000 0.000 -1.668 2.888 0.000 0.000 0.000 7.487" Properties=species:S:1:pos:R:3 comment="PBE BaTaCu, relaxed" sg="P3m1 (156)" vol_a3_per_atom=24.0 ef_ev_per_atom=0.92 e_above_lowest_polymorph_mev_per_atom=607.7 dos_at_fermi_per_ev_cell=2.652 pbc="T T T"
Ba 0.000 0.000 0.000
Ta 0.000 1.926 4.517
Cu 1.668 0.963 2.760

***

[7]
8
Lattice="2.216 1.280 9.269 -2.216 1.280 9.269 0.000 -2.559 9.269" Properties=species:S:1:pos:R:3 comment="PBE PrAl2PdAu4, relaxed" sg="R-3m (166)" vol_a3_per_atom=19.7 ef_ev_per_atom=-0.52 dos_at_fermi_per_ev_cell=3.500 pbc="T T T"
Pr 0.000 0.000 0.000
Al 0.000 0.000 6.394
Al 0.000 0.000 21.414
Pd 0.000 0.000 13.904
Au 0.000 0.000 3.445
Au 0.000 0.000 11.064
Au 0.000 0.000 16.744
Au 0.000 0.000 24.363

***

[8]
4
Lattice="2.032 -2.193 0.000 2.032 2.193 0.000 0.000 0.000 8.874" Properties=species:S:1:pos:R:3 comment="PBE Si2AgSb, relaxed" e_form_raw_mev_per_atom=538.4 sg="Cmmm (65)" vol_a3_per_atom=19.8 dos_at_fermi_per_ev_cell=1.582 pbc="T T T"
Si 0.000 0.000 1.904
Si 0.000 0.000 6.969
Ag 2.032 0.000 0.000
Sb 2.032 0.000 4.437

***

[9]
7
Lattice="-2.234 2.234 5.551 2.234 -2.234 5.551 2.234 2.234 -5.551" Properties=species:S:1:pos:R:3 comment="PBE LiZn2Pt4, relaxed" sg="I4/mmm (139)" vol_a3_per_atom=15.8 ef_ev_per_atom=-0.18 e_above_lowest_polymorph_mev_per_atom=182.7 dos_at_fermi_per_ev_cell=2.292 pbc="T T T"
Li 0.000 0.000 0.000
Zn 0.000 0.000 4.085
Zn 0.000 0.000 7.016
Pt 2.234 0.000 0.000
Pt 2.234 0.000 2.775
Pt 0.000 2.234 0.000
Pt 0.000 2.234 2.775

***

[10]
4
Lattice="0.000 3.425 3.425 3.425 0.000 3.425 3.425 3.425 0.000" Properties=species:S:1:pos:R:3 comment="PBE KCaB2, relaxed" sg="Fm-3m (225)" vol_a3_per_atom=20.1 ef_ev_per_atom=1.40 e_above_lowest_polymorph_mev_per_atom=0.0 dos_at_fermi_per_ev_cell=3.629 pbc="T T T"
K 0.000 0.000 0.000
Ca 3.425 3.425 3.425
B 1.712 1.712 1.712
B 5.137 5.137 5.137

***

[11]
4
Lattice="1.824 -4.115 0.000 1.824 4.115 0.000 0.000 0.000 7.580" Properties=species:S:1:pos:R:3 comment="PBE BeCrTe2, relaxed" e_form_raw_mev_per_atom=393.1 sg="Cmmm (65)" vol_a3_per_atom=28.4 dos_at_fermi_per_ev_cell=1.810 pbc="T T T"
Be 0.000 0.000 0.000
Cr 0.000 0.000 3.790
Te 1.824 0.000 1.732
Te 1.824 0.000 5.848

***

[12]
5
Lattice="4.853 0.000 0.000 0.000 4.853 0.000 0.000 0.000 5.070" Properties=species:S:1:pos:R:3 comment="PBE SrInTc2Rh, relaxed" sg="P4/mmm (123)" vol_a3_per_atom=23.9 ef_ev_per_atom=0.90 dos_at_fermi_per_ev_cell=7.829 pbc="T T T"
Sr 0.000 0.000 0.000
In 2.427 2.427 0.000
Tc 0.000 2.427 2.535
Tc 2.427 0.000 2.535
Rh 2.427 2.427 2.535